Compound: Gd2CoSi4Pd
Source: OQMD via LeMat-Bulk
Functional: PBE
Structure: relaxed

Volume (Å³ per cell): 139
Raw total energy (hartree per atom): -0.229

```
8
Lattice="4.108 0.000 0.000 0.000 2.047 8.281 0.000 -2.047 8.281" Properties=species:S:1:pos:R:3 pbc="T T T"
Gd 0.000 0.000 0.000
Gd 2.054 0.000 3.458
Co 2.054 0.000 7.048
Si 0.000 0.000 6.033
Si 0.000 0.000 10.567
Si 2.054 0.000 9.297
Si 2.054 0.000 14.290
Pd 0.000 0.000 12.951
```

Compound: PmGdCo4
Source: OQMD via LeMat-Bulk
Functional: PBE
Structure: relaxed

Volume (Å³ per cell): 95
Raw total energy (hartree per atom): -0.236
Energy of formation (kcal/mol of atoms): -2.6

```
6
Lattice="0.000 3.617 3.617 3.617 0.000 3.617 3.617 3.617 0.000" Properties=species:S:1:pos:R:3 pbc="T T T"
Pm 0.000 0.000 0.000
Gd 1.808 1.808 1.808
Co 4.518 2.715 2.715
Co 2.715 4.518 2.715
Co 2.715 2.715 4.518
Co 4.518 4.518 4.518
```

Compound: PrGdCo
Source: OQMD via LeMat-Bulk
Functional: PBE
Structure: relaxed

Volume (Å³ per cell): 76
Raw total energy (hartree per atom): -0.175
Distance to the lowest polymorph of the same formula (meV per atom): 0.0
Energy of formation (kcal/mol of atoms): 17.1

```
3
Lattice="0.000 3.357 3.357 3.357 0.000 3.357 3.357 3.357 0.000" Properties=species:S:1:pos:R:3 pbc="T T T"
Pr 0.000 0.000 0.000
Gd 5.035 5.035 5.035
Co 3.357 3.357 3.357
```

Compound: GdCoPt
Source: OQMD via LeMat-Bulk
Functional: PBE
Structure: relaxed

Volume (Å³ per cell): 66
Raw total energy (hartree per atom): -0.226
Energy of formation (kcal/mol of atoms): -5.0

```
3
Lattice="0.000 3.207 3.207 3.207 0.000 3.207 3.207 3.207 0.000" Properties=species:S:1:pos:R:3 pbc="T T T"
Gd 0.000 0.000 0.000
Co 3.207 3.207 3.207
Pt 4.811 4.811 4.811
```

Compound: Gd2CoSi4Pt
Source: OQMD via LeMat-Bulk
Functional: PBE
Structure: relaxed

Volume (Å³ per cell): 139
Raw total energy (hartree per atom): -0.236

```
8
Lattice="4.119 0.000 0.000 0.000 2.046 8.259 0.000 -2.046 8.259" Properties=species:S:1:pos:R:3 pbc="T T T"
Gd 0.000 0.000 0.000
Gd 2.060 0.000 3.455
Co 2.060 0.000 7.047
Si 0.000 0.000 6.021
Si 0.000 0.000 10.543
Si 2.060 0.000 9.285
Si 2.060 0.000 14.253
Pt 0.000 0.000 12.920
```

Compound: RbGdCo
Source: OQMD via LeMat-Bulk
Functional: PBE
Structure: relaxed

Volume (Å³ per cell): 86
Raw total energy (hartree per atom): -0.120

```
3
Lattice="0.000 3.505 3.505 3.505 0.000 3.505 3.505 3.505 0.000" Properties=species:S:1:pos:R:3 pbc="T T T"
Rb 0.000 0.000 0.000
Gd 3.505 3.505 3.505
Co 5.257 5.257 5.257
```